Record 1
Below is a relaxed structure of TlFeRe2O8, with properties calculated at the PBE with a Hubbard U level.

Output
For the density of states at the Fermi level, the calculation gives 4.49 states/eV per cell. Its density is 5.07 Mg/m³. The calculation puts the total energy at -7.47 eV per atom.

Lattice parameters (Å, degrees): 5.846 5.846 9.070 71.20 71.20 60.00
Each line ends with the local moment (μB).
Atoms (fractional coordinates):
O 0.620 0.620 0.645  -0.01
O 0.620 0.115 0.645  -0.01
O 0.885 0.380 0.355  -0.01
O 0.692 0.692 0.925  -0.02
O 0.380 0.885 0.355  -0.01
O 0.115 0.620 0.645  -0.01
O 0.308 0.308 0.075  -0.02
O 0.380 0.380 0.355  -0.01
Re 0.238 0.238 0.285  -0.24
Re 0.762 0.762 0.715  -0.24
Tl 0.000 0.000 0.000  -0.02
Fe 0.500 0.500 0.500  3.71

***

Record 2
Below is a relaxed structure of FeRhO3, with properties calculated at the PBE with a Hubbard U level.

Output
For the density of states at the Fermi level, the calculation gives 3.47 states/eV per cell. Its density is 6.00 Mg/m³. The calculation puts the total energy at -5.75 eV per atom.

Lattice parameters (Å, degrees): 3.854 3.854 3.854 90.00 90.00 90.00
Each line ends with the local moment (μB).
Atoms (fractional coordinates):
Rh 0.000 0.000 0.000  0.75
O 0.000 0.500 0.000  0.15
O 0.000 0.000 0.500  0.08
O 0.500 0.000 0.000  0.31
Fe 0.500 0.500 0.500  3.70

***

Record 3
Below is a relaxed structure of Fe3RhO, with properties calculated at the PBE with a Hubbard U level.

Output
For the density of states at the Fermi level, the calculation gives 3.71 states/eV per cell. For the energy above the most stable polymorph in this dataset, the calculation gives 1.535 eV per atom. Its density is 4.60 Mg/m³. The calculation puts the total energy at -4.40 eV per atom.

Lattice parameters (Å, degrees): 4.695 4.695 4.695 90.00 90.00 90.00
Each line ends with the local moment (μB).
Atoms (fractional coordinates):
Fe 0.500 0.000 0.000  3.32
Fe 0.000 0.000 0.500  3.97
Fe 0.000 0.500 0.000  3.63
Rh 0.000 0.000 0.000  0.74
O 0.500 0.500 0.500  -0.33